[1]
Tb2TmZrSc4 | PBE | optimized geometry

```
Tb2TmZrSc4
1.0
-1.4975 3.7427 -2.5502
0.8969 -2.3954 -4.0421
-7.7442 -5.7876 -3.9462
Tb Tm Zr Sc
2 1 1 4
Cartesian
-7.7441 -5.7876 -3.9462
-4.6208 -1.0225 -3.2482
-0.3003 0.6736 -3.2961
-3.4237 -4.0915 -3.9941
-6.5447 -2.3598 -8.5422
-1.8000 -2.0805 -1.9963
-2.1034 -1.4076 -5.2917
-6.2413 -3.0327 -5.2468
```

Values from the calculation:
Its space-group type is No. 47. The calculated formation energy is 0.055 eV per atom. The value obtained for the magnetic moment is 0.0 μB/cell.

=====

[2]
TbTm2ZrSc4 | PBE | optimized geometry

```
TbTm2ZrSc4
1.0
-0.8632 -3.4237 -3.1706
-1.3172 -2.9249 3.5170
-10.0965 0.0474 2.6976
Tb Tm Zr Sc
1 2 1 4
Cartesian
-11.1867 -3.1268 2.8708
-10.0965 0.0474 2.6976
-5.4799 -1.6881 -0.2365
-5.7069 -1.4387 3.1073
-9.3259 -5.6148 1.4995
-2.9510 -0.6864 1.5446
-4.0411 -3.8606 1.7176
-8.2359 -2.4406 1.3264
```

Values from the calculation:
Its space-group type is No. 47. The calculated formation energy is 0.051 eV per atom. The value obtained for the magnetic moment is 0.0 μB/cell.

=====

[3]
Tb6Tm3ZrSc2 | PBE | optimized geometry

```
Tb6Tm3ZrSc2
1.0
5.9930 0.0027 0.0041
-2.9927 5.1922 0.0041
-1.0030 -1.7366 11.2333
Tb Tm Zr Sc
6 3 1 2
Cartesian
2.9853 1.7447 8.5351
2.0112 3.4823 2.7027
-0.9880 1.7136 2.7064
0.0193 3.4576 8.5351
-0.0139 -0.0241 8.5388
1.9780 0.0006 2.7064
-1.9970 3.4592 5.6207
3.9943 -0.0010 5.6207
0.9986 1.7291 5.6207
0.0000 0.0000 0.0000
0.0008 3.4634 0.0041
2.9995 1.7315 0.0041
```

Values from the calculation:
Its space-group type is No. 12. The calculated formation energy is 0.057 eV per atom. The value obtained for the magnetic moment is 0.0 μB/cell.